(1)
Y6HoTm3: relaxed, PBE.

extended XYZ file:
```
20
Lattice="8.756 0.841 0.860 0.651 8.772 0.860 0.651 0.665 8.789" Properties=species:S:1:pos:R:3 pbc="T T T"
Tm 8.646 8.830 4.768
Tm 4.382 8.743 8.934
Tm 1.417 5.707 1.569
Tm 1.411 1.448 5.741
Tm 5.675 1.535 1.575
Tm 8.640 4.571 8.939
Y 1.812 6.801 6.952
Y 6.760 6.907 2.113
Y 3.298 3.372 8.396
Y 2.056 4.458 4.555
Y 6.758 1.959 6.954
Y 4.412 4.506 2.252
Y 3.299 8.319 3.555
Y 5.649 8.127 5.951
Y 4.409 2.152 4.558
Y 8.245 3.477 3.557
Y 8.002 5.821 5.954
Y 5.646 5.772 8.257
Ho 0.000 0.000 0.000
Ho 5.029 5.139 5.254
```

Output
- energy of formation (eV/atom) = 0.322
- SG = R-3m (166)
- calculated volume (Å³/atom) = 33.06

=====

(2)
Y4Ho8Tm3: relaxed, PBE.

extended XYZ file:
```
15
Lattice="-0.260 -4.547 4.916 5.749 -2.626 -6.706 5.984 6.729 1.958" Properties=species:S:1:pos:R:3 pbc="T T T"
Ho 8.286 -1.528 1.425
Ho 3.018 -1.288 1.309
Ho 8.455 0.844 -1.141
Ho 5.833 0.742 -3.587
Ho 5.794 2.078 2.215
Ho 3.187 1.084 -1.257
Ho 5.679 -2.522 -2.046
Ho 5.899 3.361 -1.161
Y 2.992 3.364 0.979
Y -0.130 -2.273 2.458
Y 2.874 -1.313 -3.353
Y 0.000 0.000 0.000
Tm 5.736 -0.222 0.084
Tm 2.744 -3.587 -0.895
Tm 2.862 1.091 3.437
```

Output
- energy of formation (eV/atom) = 0.403
- SG = C2/m (12)
- calculated volume (Å³/atom) = 32.71

=====

(3)
Y4Ho3Tm8: relaxed, PBE.

extended XYZ file:
```
15
Lattice="-2.375 -2.268 -5.797 8.722 -2.614 1.278 -2.329 -5.547 6.953" Properties=species:S:1:pos:R:3 pbc="T T T"
Tm 4.723 -3.676 3.332
Tm 1.701 -2.220 2.165
Tm 3.557 -7.033 3.293
Tm 0.460 -3.397 -0.859
Tm 2.317 -8.209 0.270
Tm -0.712 -5.937 2.614
Tm 4.729 -4.493 -0.180
Tm 1.670 -4.485 4.900
Y 4.361 -1.307 0.639
Y -1.188 -1.134 -2.899
Y 0.000 0.000 0.000
Y -1.165 -2.773 3.477
Ho 3.173 -2.441 -2.260
Ho -2.352 -3.907 0.578
Ho 2.009 -5.215 1.217
```

Output
- energy of formation (eV/atom) = 0.406
- SG = C2/m (12)
- calculated volume (Å³/atom) = 32.43

=====

(4)
Y2HoTm7: relaxed, PBE.

extended XYZ file:
```
10
Lattice="4.930 0.000 0.000 0.000 9.813 -1.057 0.000 -5.371 8.281" Properties=species:S:1:pos:R:3 pbc="T T T"
Ho 0.000 0.000 0.000
Tm 0.000 -2.508 6.521
Tm 2.465 2.082 6.871
Tm 2.465 2.361 0.353
Tm 0.000 6.951 0.704
Tm 2.465 5.193 4.958
Tm 2.465 2.221 3.612
Tm 2.465 -0.750 2.266
Y 2.465 5.293 1.723
Y 2.465 -0.850 5.501
```

Output
- energy of formation (eV/atom) = 0.713
- SG = Cmmm (65)
- calculated volume (Å³/atom) = 37.26

=====

(5)
YHo5Tm3: relaxed, PBE.

extended XYZ file:
```
18
Lattice="6.958 0.000 0.000 0.000 9.609 0.000 0.000 -4.805 8.322" Properties=species:S:1:pos:R:3 pbc="T T T"
Ho 5.219 3.310 5.734
Ho 0.000 0.000 5.549
Ho 1.740 1.494 2.588
Ho 3.479 4.805 2.773
Ho 0.000 4.805 2.773
Ho 1.740 6.621 0.000
Ho 5.219 2.988 0.000
Ho 1.740 -3.310 5.734
Ho 5.219 8.115 2.588
Ho 3.479 0.000 5.549
Tm 5.219 6.194 0.000
Tm 1.740 3.097 5.363
Tm 5.219 1.708 2.959
Tm 1.740 -1.708 2.959
Tm 5.219 6.512 5.363
Tm 1.740 3.416 0.000
Y 0.000 0.000 0.000
Y 3.479 0.000 0.000
```

Output
- energy of formation (eV/atom) = 0.066
- SG = P6_3/mcm (193)
- calculated volume (Å³/atom) = 30.91

=====

(6)
Y2Ho7Tm: relaxed, PBE.

extended XYZ file:
```
10
Lattice="-0.290 1.519 3.093 -13.648 -5.630 1.487 14.775 0.032 1.368" Properties=species:S:1:pos:R:3 pbc="T T T"
Y 8.692 -0.392 2.939
Y -7.855 -3.688 3.008
Ho -2.092 -4.041 3.721
Ho 2.929 -0.039 2.226
Ho 5.874 -1.741 1.405
Ho -2.673 -1.154 2.249
Ho -4.747 -3.857 1.449
Ho 0.419 -2.040 2.973
Ho 3.510 -2.925 3.698
Tm 0.000 0.000 0.000
```

Output
- energy of formation (eV/atom) = 0.203
- SG = Cmmm (65)
- calculated volume (Å³/atom) = 31.98

=====

(7)
Y2Ho6Tm3Zr: relaxed, PBE.

extended XYZ file:
```
12
Lattice="6.044 0.004 0.003 -3.017 5.237 0.003 -1.006 -1.742 11.377" Properties=species:S:1:pos:R:3 pbc="T T T"
Ho 2.040 3.533 2.808
Ho -0.985 1.709 2.812
Ho 3.006 1.790 8.570
Ho -0.019 -0.033 8.575
Ho 0.048 3.498 8.570
Ho 1.973 0.001 2.812
Tm 4.032 0.005 5.691
Tm 1.010 1.750 5.691
Tm -2.011 3.494 5.691
Zr 0.000 0.000 0.000
Y 0.001 3.494 0.003
Y 3.026 1.747 0.003
```

Output
- energy of formation (eV/atom) = 0.046
- SG = C2/m (12)
- calculated volume (Å³/atom) = 30.03

=====

(8)
Y6Ho3Tm2Zr: relaxed, PBE.

extended XYZ file:
```
12
Lattice="-2.214 -4.440 -3.508 4.015 -1.307 4.370 -9.181 0.323 7.130" Properties=species:S:1:pos:R:3 pbc="T T T"
Ho -5.766 -3.756 1.370
Ho -3.690 -2.712 3.996
Ho -1.614 -1.667 6.622
Y -2.821 -1.841 0.663
Y -6.598 -4.608 4.750
Y -4.558 -3.582 7.329
Y -6.500 -1.169 5.604
Y -0.782 -0.815 3.242
Y -0.880 -4.255 2.388
Tm -0.139 -3.396 -0.883
Tm 1.940 -2.351 1.745
Zr 0.000 0.000 0.000
```

Output
- energy of formation (eV/atom) = 0.049
- SG = C2/m (12)
- calculated volume (Å³/atom) = 30.54

=====

(9)
Ho3TmZn: relaxed, PBE.

extended XYZ file:
```
10
Lattice="6.478 -0.367 -1.063 -2.126 6.130 1.063 -3.200 -2.108 7.556" Properties=species:S:1:pos:R:3 pbc="T T T"
Ho -2.384 1.801 5.953
Ho 0.172 2.128 1.307
Ho 2.352 5.015 1.307
Ho 0.981 1.526 6.249
Ho 3.537 1.854 1.602
Ho -1.200 -1.361 6.249
Tm -0.759 5.098 2.655
Tm 1.911 -1.443 4.900
Zn 1.643 3.284 3.782
Zn -0.491 0.371 3.774
```

Output
- energy of formation (eV/atom) = -0.027
- SG = C2/m (12)
- calculated volume (Å³/atom) = 28.43

=====

(10)
HoTm2Zn9: relaxed, PBE.

extended XYZ file:
```
12
Lattice="5.184 0.000 1.543 2.362 4.614 1.543 0.127 0.077 9.055" Properties=species:S:1:pos:R:3 pbc="T T T"
Zn 5.797 1.929 4.316
Zn 4.518 2.763 8.611
Zn 2.653 1.622 10.046
Zn 4.358 4.281 4.316
Zn 3.836 2.346 6.070
Zn 5.020 3.069 2.095
Zn 3.154 1.929 3.530
Zn 3.314 0.411 7.825
Zn 1.876 2.763 7.825
Tm 6.543 4.001 6.456
Tm 1.130 0.691 5.685
Ho 0.000 0.000 0.000
```

Output
- energy of formation (eV/atom) = -0.312
- SG = R-3m (166)
- calculated volume (Å³/atom) = 17.95

=====

(11)
Ho6TmZn2: relaxed, PBE.

extended XYZ file:
```
9
Lattice="3.548 0.000 0.563 1.564 6.034 1.603 0.014 -0.178 11.367" Properties=species:S:1:pos:R:3 pbc="T T T"
Ho 2.349 4.609 8.117
Ho 4.595 4.298 5.427
Ho 2.778 1.248 5.416
Ho 0.532 1.558 8.106
Ho 3.226 2.969 2.596
Ho 1.901 2.887 10.937
Tm 0.000 0.000 0.000
Zn 1.399 0.535 2.641
Zn 3.727 5.321 10.892
```

Output
- energy of formation (eV/atom) = -0.144
- SG = C2/m (12)
- calculated volume (Å³/atom) = 27.13

=====

(12)
Ho4TmZn: relaxed, PBE.

extended XYZ file:
```
6
Lattice="-0.728 2.661 2.190 1.480 -1.780 2.654 11.992 5.660 -2.891" Properties=species:S:1:pos:R:3 pbc="T T T"
Ho 2.554 1.468 1.897
Ho 10.190 5.073 0.056
Ho 7.572 3.574 -1.825
Ho 4.420 2.086 -1.065
Zn 6.372 3.270 0.977
Tm 0.000 0.000 0.000
```

Output
- energy of formation (eV/atom) = -0.099
- SG = P4/mmm (123)
- calculated volume (Å³/atom) = 28.06

=====

Question: Which of these has the lowest calculated volume?
Answer: HoTm2Zn9

=====

Question: Look up the calculated volume of the twelfth one.
Answer: 28.06 Å³/atom

=====

Question: What is the calculated volume in the sixth record?
Answer: 31.98 Å³/atom

=====

Question: Which of these has the highest energy of formation?
Answer: Y2HoTm7